[1]
Compound: Ti2AuCl
Source: Alexandria via LeMat-Bulk
Functional: PBE
Structure: relaxed

a = 6.4808 Å, b = 6.4808 Å, c = 6.4808 Å
α = 90.00°, β = 90.00°, γ = 90.00°
Last column: nearest neighbours and their distance in Å.
Element x y z (fractional)
Ti 0.2500 0.2500 0.2500  4 Cl 2.81, 4 Au 2.81
Ti 0.2500 0.2500 0.7500  4 Cl 2.81, 4 Au 2.81
Ti 0.2500 0.7500 0.2500  4 Cl 2.81, 4 Au 2.81
Ti 0.2500 0.7500 0.7500  4 Cl 2.81, 4 Au 2.81
Ti 0.7500 0.2500 0.2500  4 Cl 2.81, 4 Au 2.81
Ti 0.7500 0.2500 0.7500  4 Cl 2.81, 4 Au 2.81
Ti 0.7500 0.7500 0.2500  4 Cl 2.81, 4 Au 2.81
Ti 0.7500 0.7500 0.7500  4 Cl 2.81, 4 Au 2.81
Au 0.0000 0.0000 0.0000  8 Ti 2.81
Au 0.0000 0.5000 0.5000  8 Ti 2.81
Au 0.5000 0.0000 0.5000  8 Ti 2.81
Au 0.5000 0.5000 0.0000  8 Ti 2.81
Cl 0.0000 0.0000 0.5000  8 Ti 2.81
Cl 0.0000 0.5000 0.0000  8 Ti 2.81
Cl 0.5000 0.0000 0.0000  8 Ti 2.81
Cl 0.5000 0.5000 0.5000  8 Ti 2.81

Output
As for the raw formation energy: -0.1474 eV/atom.

=====

[2]
Compound: Ti3AuCl
Source: Alexandria via LeMat-Bulk
Functional: PBE
Structure: relaxed

a = 5.0379 Å, b = 5.0379 Å, c = 5.0379 Å
α = 90.00°, β = 90.00°, γ = 90.00°
Last column: nearest neighbours and their distance in Å.
Element x y z (fractional)
Ti 0.0000 0.0000 0.5000  2 Au 2.52
Ti 0.0000 0.5000 0.0000  2 Au 2.52
Ti 0.5000 0.0000 0.0000  2 Au 2.52
Au 0.0000 0.0000 0.0000  6 Ti 2.52
Cl 0.5000 0.5000 0.5000  12 Ti 3.56

Output
As for the raw formation energy: 0.6600 eV/atom.

=====

[3]
Compound: TiAu3Cl
Source: Alexandria via LeMat-Bulk
Functional: PBE
Structure: relaxed

a = 4.8630 Å, b = 4.8630 Å, c = 4.8630 Å
α = 90.00°, β = 90.00°, γ = 90.00°
Last column: nearest neighbours and their distance in Å.
Element x y z (fractional)
Ti 0.0000 0.0000 0.0000  12 Au 3.44
Au 0.0000 0.5000 0.5000  2 Cl 2.43
Au 0.5000 0.0000 0.5000  2 Cl 2.43
Au 0.5000 0.5000 0.0000  2 Cl 2.43
Cl 0.5000 0.5000 0.5000  6 Au 2.43

Output
As for the raw formation energy: 1.1353 eV/atom.

=====

[4]
Compound: Ti3AuCl
Source: Alexandria via LeMat-Bulk
Functional: PBE
Structure: relaxed

a = 4.4456 Å, b = 4.4456 Å, c = 4.4456 Å
α = 90.00°, β = 90.00°, γ = 90.00°
Last column: nearest neighbours and their distance in Å.
Element x y z (fractional)
Ti 0.0000 0.0000 0.5000  2 Cl 2.22
Ti 0.0000 0.5000 0.0000  2 Cl 2.22
Ti 0.5000 0.0000 0.0000  2 Cl 2.22
Au 0.5000 0.5000 0.5000  12 Ti 3.14
Cl 0.0000 0.0000 0.0000  6 Ti 2.22

Output
As for the raw formation energy: -0.0662 eV/atom.

=====

[5]
Compound: TiW2AuCl
Source: Alexandria via LeMat-Bulk
Functional: PBE
Structure: relaxed

a = 4.9678 Å, b = 4.9678 Å, c = 5.0986 Å
α = 90.00°, β = 90.00°, γ = 90.00°
Last column: nearest neighbours and their distance in Å.
Element x y z (fractional)
Ti 0.0000 0.0000 0.0000  2 Au 2.55
W 0.0000 0.5000 0.5000  2 Au 2.48
W 0.5000 0.0000 0.5000  2 Au 2.48
Au 0.0000 0.0000 0.5000  4 W 2.48, 2 Ti 2.55
Cl 0.5000 0.5000 0.0000  4 Ti 3.51, 8 W 3.56

Output
As for the raw formation energy: 2.1312 eV/atom.

=====

[6]
Compound: TlAuCl2
Source: Alexandria via LeMat-Bulk
Functional: PBE
Structure: relaxed

a = 4.1189 Å, b = 7.1176 Å, c = 7.8988 Å
α = 90.00°, β = 90.00°, γ = 90.00°
Last column: nearest neighbours and their distance in Å.
Element x y z (fractional)
Tl 0.0000 0.0000 0.0000  4 Cl 3.06
Tl 0.5000 0.5000 0.0000  4 Cl 3.06
Au 0.0000 0.0000 0.5000  4 Cl 2.66
Au 0.5000 0.5000 0.5000  4 Cl 2.66
Cl 0.0000 0.5000 0.2864  2 Au 2.66
Cl 0.0000 0.5000 0.7136  2 Au 2.66
Cl 0.5000 0.0000 0.2864  2 Au 2.66
Cl 0.5000 0.0000 0.7136  2 Au 2.66

Output
As for the raw formation energy: -0.3450 eV/atom.

=====

[7]
Compound: TlAu2Cl
Source: Alexandria via LeMat-Bulk
Functional: PBE
Structure: relaxed

a = 3.8397 Å, b = 6.1047 Å, c = 8.4875 Å
α = 90.00°, β = 90.00°, γ = 90.00°
Last column: nearest neighbours and their distance in Å.
Element x y z (fractional)
Tl 0.0000 0.0000 0.0000  2 Au 2.94, 2 Cl 3.18
Tl 0.5000 0.5000 0.5000  2 Au 2.94, 2 Cl 3.18
Au 0.0000 0.0000 0.4876  2 Cl 2.64, 2 Au 2.71
Au 0.0000 0.5000 0.7627  2 Au 2.71, 2 Tl 2.94
Au 0.5000 0.0000 0.2627  2 Au 2.71, 2 Tl 2.94
Au 0.5000 0.5000 0.9876  2 Cl 2.64, 2 Au 2.71
Cl 0.0000 0.5000 0.2018  2 Au 2.64
Cl 0.5000 0.0000 0.7018  2 Au 2.64

Output
As for the raw formation energy: -0.0197 eV/atom.

=====

[8]
Compound: TlAuCl2
Source: Alexandria via LeMat-Bulk
Functional: PBE
Structure: relaxed

a = 4.0409 Å, b = 6.3014 Å, c = 8.4693 Å
α = 90.00°, β = 90.00°, γ = 90.00°
Last column: nearest neighbours and their distance in Å.
Element x y z (fractional)
Tl 0.0000 0.0000 0.0000  8 Cl 3.25-3.57
Tl 0.5000 0.5000 0.5000  8 Cl 3.25-3.57
Au 0.0000 0.0000 0.5000  4 Cl 2.63
Au 0.5000 0.5000 0.0000  4 Cl 2.63
Cl 0.0000 0.5000 0.1994  2 Au 2.63
Cl 0.0000 0.5000 0.8006  2 Au 2.63
Cl 0.5000 0.0000 0.3006  2 Au 2.63
Cl 0.5000 0.0000 0.6994  2 Au 2.63

Output
As for the raw formation energy: -0.4216 eV/atom.

=====

[9]
Compound: TlAuCl2
Source: Alexandria via LeMat-Bulk
Functional: PBE
Structure: relaxed

a = 7.3105 Å, b = 7.3105 Å, c = 7.3105 Å
α = 90.00°, β = 90.00°, γ = 90.00°
Last column: nearest neighbours and their distance in Å.
Element x y z (fractional)
Tl 0.0000 0.0000 0.0000  8 Cl 3.17
Tl 0.0000 0.5000 0.5000  8 Cl 3.17
Tl 0.5000 0.0000 0.5000  8 Cl 3.17
Tl 0.5000 0.5000 0.0000  8 Cl 3.17
Au 0.0000 0.0000 0.5000  8 Cl 3.17
Au 0.0000 0.5000 0.0000  8 Cl 3.17
Au 0.5000 0.0000 0.0000  8 Cl 3.17
Au 0.5000 0.5000 0.5000  8 Cl 3.17
Cl 0.2500 0.2500 0.2500  4 Tl 3.17, 4 Au 3.17
Cl 0.2500 0.2500 0.7500  4 Tl 3.17, 4 Au 3.17
Cl 0.2500 0.7500 0.2500  4 Tl 3.17, 4 Au 3.17
Cl 0.2500 0.7500 0.7500  4 Tl 3.17, 4 Au 3.17
Cl 0.7500 0.2500 0.2500  4 Tl 3.17, 4 Au 3.17
Cl 0.7500 0.2500 0.7500  4 Tl 3.17, 4 Au 3.17
Cl 0.7500 0.7500 0.2500  4 Tl 3.17, 4 Au 3.17
Cl 0.7500 0.7500 0.7500  4 Tl 3.17, 4 Au 3.17

Output
As for the raw formation energy: -0.2178 eV/atom.

=====

[10]
Compound: TlAuCl3
Source: Alexandria via LeMat-Bulk
Functional: PBE
Structure: relaxed

a = 6.7747 Å, b = 6.8893 Å, c = 7.8399 Å
α = 89.17°, β = 89.02°, γ = 61.92°
Last column: nearest neighbours and their distance in Å.
Element x y z (fractional)
Tl 0.1825 0.1428 0.2339  7 Cl 3.23-3.55
Tl 0.8175 0.8572 0.7661  7 Cl 3.23-3.55
Au 0.5000 0.5000 0.0000  2 Cl 2.30
Au 0.5000 0.5000 0.5000  4 Cl 2.32
Cl 0.1450 0.7235 0.3941  1 Au 2.32
Cl 0.3188 0.8515 0.8901  1 Au 2.30
Cl 0.3735 0.2661 0.6160  1 Au 2.32
Cl 0.6265 0.7339 0.3840  1 Au 2.32
Cl 0.6812 0.1485 0.1099  1 Au 2.30
Cl 0.8550 0.2765 0.6059  1 Au 2.32

Output
As for the raw formation energy: -0.5957 eV/atom.

=====

[11]
Compound: TlAu3Cl
Source: Alexandria via LeMat-Bulk
Functional: PBE
Structure: relaxed

a = 5.3378 Å, b = 5.3378 Å, c = 5.3378 Å
α = 90.00°, β = 90.00°, γ = 90.00°
Last column: nearest neighbours and their distance in Å.
Element x y z (fractional)
Tl 0.0000 0.0000 0.0000  6 Au 2.67
Au 0.0000 0.0000 0.5000  2 Tl 2.67
Au 0.0000 0.5000 0.0000  2 Tl 2.67
Au 0.5000 0.0000 0.0000  2 Tl 2.67
Cl 0.5000 0.5000 0.5000  12 Au 3.77

Output
As for the raw formation energy: 0.7265 eV/atom.

=====

[12]
Compound: TlAuCl2
Source: Alexandria via LeMat-Bulk
Functional: PBE
Structure: relaxed

a = 3.8672 Å, b = 4.3509 Å, c = 6.3552 Å
α = 90.00°, β = 90.00°, γ = 90.00°
Last column: nearest neighbours and their distance in Å.
Element x y z (fractional)
Tl 0.0000 0.0000 0.0000  4 Cl 2.91
Au 0.0000 0.5000 0.5000  4 Cl 2.91
Cl 0.5000 0.0000 0.5000  4 Au 2.91
Cl 0.5000 0.5000 0.0000  4 Tl 2.91

Output
As for the raw formation energy: -0.2310 eV/atom.